# FeSbO4

An optimized crystal structure of FeSbO4 (GGA+U, the Alexandria database).

a b c (Å): 5.0321 5.0238 5.0374
angles (deg): 90.00 92.88 90.00
Last column: nearest neighbours and their distance in Å.
Space group P2_1/c (No. 14)
Symmetry-distinct sites (fractional):
Fe 0.0000 0.0000 0.0000 (multiplicity 2)  6 O 2.06-2.12
Sb 0.5000 0.0000 0.5000 (multiplicity 2)  6 O 1.99-2.05
O 0.1638 0.1596 0.3488 (multiplicity 4)  1 Sb 1.99, 2 Fe 2.06
O 0.3418 0.6610 0.3300 (multiplicity 4)  2 Sb 2.05, 1 Fe 2.12

Calculated values
* density: 6.3 g cm⁻³
* energy: -6.26 eV/atom